Version P
Here is an optimized crystal structure of Hf2TaTc from Alexandria. Energies are from PBE.

Cell and atoms, written as POSCAR:
```
Hf2TaTc
1.0
0.000 3.338 3.338
3.338 0.000 3.338
3.338 3.338 0.000
Hf Ta Tc
2 1 1
Direct
0.250 0.250 0.250
0.750 0.750 0.750
0.000 0.000 0.000
0.500 0.500 0.500
```



Version Q
Here is an optimized crystal structure of Hf2TaTc from Alexandria. Energies are from PBE.

Cell and atoms, written as POSCAR:
```
Hf2TaTc
1.0
-3.758 3.758 2.841
3.758 -3.758 2.841
3.758 3.758 -2.841
Hf Ta Tc
4 2 2
Direct
0.092 0.625 0.967
0.375 0.342 0.467
0.658 0.125 0.033
0.875 0.908 0.533
0.250 0.750 0.500
0.500 0.500 0.000
0.000 0.000 0.000
0.750 0.250 0.500
```



Version R
Here is an optimized crystal structure of Hf2TaTc from Alexandria. Energies are from PBE.

Cell and atoms, written as POSCAR:
```
Hf2TaTc
1.0
3.256 0.000 0.000
0.000 3.256 0.000
0.000 0.000 7.087
Hf Ta Tc
2 1 1
Direct
0.000 0.000 0.225
0.000 0.000 0.775
0.500 0.500 0.500
0.500 0.500 0.000
```



Computed stability ranking, most favorable first: version R, version P, version Q



Version P
Here is an optimized crystal structure of HfTaTc from Alexandria. Energies are from PBE.

Cell and atoms, written as POSCAR:
```
HfTaTc
1.0
-1.618 1.618 5.094
1.618 -1.618 5.094
1.618 1.618 -5.094
Hf Ta Tc
1 1 1
Direct
0.000 0.000 0.000
0.311 0.311 0.000
0.666 0.666 0.000
```



Version Q
Here is an optimized crystal structure of HfTaTc from Alexandria. Energies are from PBE.

Cell and atoms, written as POSCAR:
```
HfTaTc
1.0
0.000 4.449 6.313
4.448 0.000 6.313
4.448 4.449 0.000
Hf Ta Tc
4 4 4
Direct
0.001 0.001 0.749
0.251 0.251 0.999
0.749 0.749 0.001
0.999 0.999 0.251
0.251 0.251 0.499
0.499 0.499 0.251
0.501 0.501 0.749
0.749 0.749 0.501
0.136 0.614 0.136
0.386 0.864 0.386
0.614 0.136 0.614
0.864 0.386 0.864
```



Computed stability ranking, most favorable first: version P, version Q



Version P
Here is an optimized crystal structure of HfTa3Tc from Alexandria. Energies are from PBE.

Cell and atoms, written as POSCAR:
```
HfTa3Tc
1.0
4.797 0.000 0.000
0.000 4.797 0.000
0.000 0.000 4.797
Hf Ta Tc
1 3 1
Direct
0.000 0.000 0.000
0.000 0.500 0.500
0.500 0.000 0.500
0.500 0.500 0.000
0.500 0.500 0.500
```



Version Q
Here is an optimized crystal structure of HfTa3Tc from Alexandria. Energies are from PBE.

Cell and atoms, written as POSCAR:
```
HfTa3Tc
1.0
4.809 0.000 0.000
0.000 4.809 0.000
0.000 0.000 4.809
Hf Ta Tc
1 3 1
Direct
0.000 0.000 0.000
0.000 0.000 0.500
0.000 0.500 0.000
0.500 0.000 0.000
0.500 0.500 0.500
```



Computed stability ranking, most favorable first: version P, version Q



Version P
Here is an optimized crystal structure of HfTa3Te from Alexandria. Energies are from PBE.

Cell and atoms, written as POSCAR:
```
HfTa3Te
1.0
4.979 0.000 0.000
0.000 4.979 0.000
0.000 0.000 4.979
Hf Ta Te
1 3 1
Direct
0.000 0.000 0.000
0.000 0.000 0.500
0.000 0.500 0.000
0.500 0.000 0.000
0.500 0.500 0.500
```



Version Q
Here is an optimized crystal structure of HfTa3Te from Alexandria. Energies are from PBE.

Cell and atoms, written as POSCAR:
```
HfTa3Te
1.0
4.963 0.000 0.000
0.000 4.963 0.000
0.000 0.000 4.963
Hf Ta Te
1 3 1
Direct
0.000 0.000 0.000
0.000 0.500 0.500
0.500 0.000 0.500
0.500 0.500 0.000
0.500 0.500 0.500
```



Computed stability ranking, most favorable first: version Q, version P